The following is a DFT calculation (PBE) of NpTaCo4 after structural relaxation.

Calculated values
D(E_F) = 8.810 states/eV/cell
space-group type = F-43m
DFT total energy = -53.501 eV per formula unit

Cell lengths 4.849, 4.849, 4.849 Å; angles 60.00, 60.00, 60.00 degrees
Sites, in units of the cell vectors:
Np  0.250  0.250  0.250
Co  0.625  0.625  0.124
Co  0.625  0.124  0.625
Co  0.625  0.625  0.625
Co  0.124  0.625  0.625
Ta  0.000  0.000  0.000